## FeTeN2O (PBE+U)

Data for a geometry-optimized FeTeN2O structure.

Cell: 4.0036 4.0036 4.1544 Å, 90.00 90.00 90.00°
Last column: nearest neighbours and their distance in Å.
Fractional positions:
N 0.5000 0.0000 0.0000  2 O 2.00
N 0.0000 0.5000 0.0000  2 O 2.00
Te 0.0000 0.0000 0.5000  2 O 2.08
O 0.0000 0.0000 0.0000  4 N 2.00, 2 Te 2.08
Fe 0.5000 0.5000 0.5000  4 Te 2.83, 8 N 2.88

## Properties
Size of the total moment ... 2.53 μB per formula unit
Uncorrected energy ... -0.3030 Ry/atom